No. 1
First-principles (PBE) data for a geometry-optimized LiGe2Ir structure, as listed in Alexandria.

Cell lengths 4.353, 4.353, 4.353 Å; angles 60.00, 60.00, 60.00 degrees
Fractional coordinates of all 4 atoms:
Ge: 0.250 0.250 0.250
Ge: 0.750 0.750 0.750
Ir: 0.500 0.500 0.500
Li: 0.000 0.000 0.000

Calculated formation energy   -0.32 eV/atom

No. 2
First-principles (PBE) data for a geometry-optimized HoTm5Ga4 structure, as listed in Alexandria.

Cell lengths 3.624, 8.618, 8.655 Å; angles 94.89, 102.08, 90.00 degrees
Fractional coordinates of all 10 atoms:
Ho: 0.500 0.000 0.000
Tm: 0.811 0.649 0.623
Tm: 0.850 0.221 0.701
Tm: 0.150 0.779 0.299
Tm: 0.500 0.500 0.000
Tm: 0.189 0.351 0.377
Ga: 0.314 0.941 0.628
Ga: 0.976 0.743 0.953
Ga: 0.686 0.059 0.372
Ga: 0.024 0.257 0.047

Calculated formation energy   -0.29 eV/atom